# NpMnPdO6 (PBE with a Hubbard U, relaxed)
# E_tot (eV/cell): -141.41
# Total magnetic moment (μB/cell): 12.15
data_NpMnPdO6
_chemical_formula_sum 'Np2 Mn2 Pd2 O12'
_cell_length_a 5.2790
_cell_length_b 5.2790
_cell_length_c 9.4849
_cell_angle_alpha 90.00
_cell_angle_beta 90.00
_cell_angle_gamma 120.00
_symmetry_space_group_name_H-M 'P -3 1 c'
_symmetry_Int_Tables_number 163
_symmetry_space_group_name_Hall '-P 3 2c'
loop_
_atom_site_label
_atom_site_type_symbol
_atom_site_fract_x
_atom_site_fract_y
_atom_site_fract_z
Np1 Np 0.3333 0.6667 0.2500
Mn1 Mn 0.0000 0.0000 0.0000
Pd1 Pd 0.3333 0.6667 0.7500
O1 O 0.0057 0.3451 0.6321